# 1
{"formula": "MnHg2Pd2", "functional": "GGA-PBE", "state": "optimized geometry", "lattice_angstrom": [[-1.909, 1.909, 6.850], [1.909, -1.909, 6.850], [1.909, 1.909, -6.850]], "species": ["Mn", "Hg", "Hg", "Pd", "Pd"], "fractional_positions": [[0.000, 0.000, 0.000], [0.398, 0.398, 0.000], [0.602, 0.602, 0.000], [0.250, 0.750, 0.500], [0.750, 0.250, 0.500]], "vol_a3_per_atom": 19.97, "e_above_lowest_polymorph_ev_per_atom": 0.277, "magmom_total_mub_per_fu": 4.44, "mass_density_g_cm3": 11.13}

=====

# 2
{"formula": "MnHg3Pd7", "functional": "GGA-PBE", "state": "optimized geometry", "lattice_angstrom": [[4.690, -4.748, 0.000], [4.690, 4.748, 0.000], [-2.240, 0.000, 4.579]], "species": ["Mn", "Hg", "Hg", "Hg", "Pd", "Pd", "Pd", "Pd", "Pd", "Pd", "Pd"], "fractional_positions": [[0.000, 0.000, 0.000], [0.285, 0.715, 0.500], [0.500, 0.500, 0.000], [0.715, 0.285, 0.500], [0.000, 0.000, 0.500], [0.082, 0.584, 0.836], [0.278, 0.278, 0.442], [0.416, 0.918, 0.164], [0.584, 0.082, 0.836], [0.722, 0.722, 0.558], [0.918, 0.416, 0.164]], "vol_a3_per_atom": 18.54, "magmom_total_mub_per_fu": 4.75, "mass_density_g_cm3": 11.41, "e_tot_ev_per_atom": -4.18}